Here is a relaxed structure of Mn2NiN from Alexandria via LeMat-Bulk. Energies are from PBE-GGA.

Unit cell a=2.7788 b=2.7788 c=18.7767 alpha=90.00 beta=90.00 gamma=120.00
Space group R-3m (No. 166, hexagonal axes)
One atom of each set of equivalent atoms:
Mn  0.0000  0.0000  0.2272 (multiplicity 6)
Ni  0.0000  0.0000  0.0000 (multiplicity 3)
N  0.0000  0.0000  0.5000 (multiplicity 3)

Properties
Volume, Å³/cell: 125.57
Offset from the most stable computed form, meV/atom: 0
Electronic total energy, eV/atom: -8.235
ΔE_f (raw), eV/atom: -0.124

Here is a relaxed structure of Rb2USe2Br4 from Alexandria via LeMat-Bulk. Energies are from PBE-GGA.

Unit cell a=13.198 b=7.784 c=6.685 alpha=90.00 beta=98.61 gamma=90.00
Space group C2/m (No. 12)
One atom of each set of equivalent atoms:
Rb  0.179  0.000  0.235 (multiplicity 4)
U  0.000  0.500  0.000 (multiplicity 2)
Se  0.162  0.500  0.258 (multiplicity 4)
Br  0.082  0.248  0.783 (multiplicity 8)

Properties
Volume, Å³/cell: 679.07
Electronic total energy, eV/atom: -4.279
ΔE_f (raw), eV/atom: -1.292

Here is a relaxed structure of MgZrZn2 from Alexandria via LeMat-Bulk. Energies are from PBE-GGA.

Unit cell a=10.520 b=2.881 c=5.112 alpha=90.00 beta=107.75 gamma=90.00
Space group Cm (No. 8)
One atom of each set of equivalent atoms:
Mg  0.000  0.000  0.000 (multiplicity 2)
Zr  0.287  0.500  0.365 (multiplicity 2)
Zn  0.041  0.500  0.523 (multiplicity 2)
Zn  0.244  0.000  0.844 (multiplicity 2)

Properties
Formation enthalpy at 0 K, eV per formula unit: -0.38
Volume, Å³/cell: 147.57
Electronic total energy, eV/atom: -3.268

Here is a relaxed structure of PuHfCo4 from Alexandria via LeMat-Bulk. Energies are from PBE-GGA.

Unit cell a=6.979 b=6.979 c=6.979 alpha=90.00 beta=90.00 gamma=90.00
Space group F-43m (No. 216)
One atom of each set of equivalent atoms:
Pu  0.000  0.000  0.000 (multiplicity 4)
Hf  0.250  0.250  0.750 (multiplicity 4)
Co  0.125  0.125  0.375 (multiplicity 16)

Properties
Formation enthalpy at 0 K, eV per formula unit: -1.30
Volume, Å³/cell: 339.85
Electronic total energy, eV/atom: -9.002

Here is a relaxed structure of Pr2ZrGa from Alexandria via LeMat-Bulk. Energies are from PBE-GGA.

Unit cell a=4.691 b=4.691 c=4.751 alpha=90.00 beta=90.00 gamma=90.00
Space group P4/mmm (No. 123)
One atom of each set of equivalent atoms:
Pr  0.000  0.500  0.000 (multiplicity 2)
Zr  0.000  0.000  0.500 (multiplicity 1)
Ga  0.500  0.500  0.500 (multiplicity 1)

Properties
Formation enthalpy at 0 K, eV per formula unit: -0.54
Volume, Å³/cell: 104.56
Offset from the most stable computed form, meV/atom: 0
Electronic total energy, eV/atom: -5.418

Here is a relaxed structure of Sm3Th5S8 from Alexandria via LeMat-Bulk. Energies are from PBE-GGA.

Unit cell a=8.0168 b=8.0168 c=19.9195 alpha=90.00 beta=90.00 gamma=120.00
Space group R-3m (No. 166, hexagonal axes)
One atom of each set of equivalent atoms:
Sm  0.0000  0.5000  0.0000 (multiplicity 9)
Th  0.0000  0.0000  0.0000 (multiplicity 3)
Th  0.0000  0.0000  0.5000 (multiplicity 3)
Th  0.0000  0.5000  0.5000 (multiplicity 9)
S  0.0000  0.0000  0.2519 (multiplicity 6)
S  0.0028  0.5014  0.2515 (multiplicity 18)

Properties
Volume, Å³/cell: 1108.71
Electronic total energy, eV/atom: -7.171
ΔE_f (raw), eV/atom: -1.904

Here is a relaxed structure of Na3DyNp2Se6 from Alexandria via LeMat-Bulk. Energies are from PBE-GGA.

Unit cell a=7.238 b=12.538 c=7.394 alpha=90.00 beta=109.04 gamma=90.00
Space group C2/m (No. 12)
One atom of each set of equivalent atoms:
Na  0.000  0.000  0.000 (multiplicity 2)
Na  0.000  0.334  0.000 (multiplicity 4)
Dy  0.000  0.500  0.500 (multiplicity 2)
Np  0.000  0.167  0.500 (multiplicity 4)
Se  0.243  0.334  0.731 (multiplicity 8)
Se  0.246  0.000  0.731 (multiplicity 4)

Properties
Volume, Å³/cell: 634.30
Electronic total energy, eV/atom: -5.971
ΔE_f (raw), eV/atom: -1.359

Here is a relaxed structure of Ac11Tb9Pr4 from Alexandria via LeMat-Bulk. Energies are from PBE-GGA.

Unit cell a=17.769 b=26.902 c=3.886 alpha=90.00 beta=90.00 gamma=90.00
Space group Cmmm (No. 65)
One atom of each set of equivalent atoms:
Ac  0.000  0.000  0.000 (multiplicity 2)
Ac  0.000  0.159  0.000 (multiplicity 4)
Ac  0.000  0.367  0.000 (multiplicity 4)
Ac  0.210  0.500  0.000 (multiplicity 4)
Ac  0.223  0.181  0.000 (multiplicity 8)
Tb  0.000  0.500  0.500 (multiplicity 2)
Tb  0.100  0.267  0.500 (multiplicity 8)
Tb  0.140  0.072  0.500 (multiplicity 8)
Pr  0.157  0.399  0.500 (multiplicity 8)

Properties
Formation enthalpy at 0 K, eV per formula unit: 2.35
Volume, Å³/cell: 1857.53
Electronic total energy, eV/atom: -4.318

Here is a relaxed structure of InRhPb2 from Alexandria via LeMat-Bulk. Energies are from PBE-GGA.

Unit cell a=5.222 b=3.388 c=6.732 alpha=90.00 beta=112.54 gamma=90.00
Space group P2/m (No. 10)
One atom of each set of equivalent atoms:
In  0.000  0.000  0.000 (multiplicity 1)
Rh  0.500  0.000  0.000 (multiplicity 1)
Pb  0.323  0.500  0.647 (multiplicity 2)

Properties
Formation enthalpy at 0 K, eV per formula unit: -0.12
Volume, Å³/cell: 109.99
Electronic total energy, eV/atom: -4.406

Here is a relaxed structure of RbSn2SbBr8 from Alexandria via LeMat-Bulk. Energies are from PBE-GGA.

Unit cell a=6.931 b=7.328 c=9.383 alpha=85.97 beta=87.42 gamma=87.50
Space group P-1 (No. 2)
One atom of each set of equivalent atoms:
Rb  0.000  0.000  0.000 (multiplicity 1)
Sn  0.481  0.482  0.251 (multiplicity 2)
Sb  0.000  0.000  0.500 (multiplicity 1)
Br  0.234  0.316  0.474 (multiplicity 2)
Br  0.238  0.831  0.290 (multiplicity 2)
Br  0.250  0.848  0.712 (multiplicity 2)
Br  0.275  0.373  0.033 (multiplicity 2)

Properties
Volume, Å³/cell: 474.51
Electronic total energy, eV/atom: -3.062
ΔE_f (raw), eV/atom: -0.855

Here is a relaxed structure of TlCuTcBr6 from Alexandria via LeMat-Bulk. Energies are from PBE-GGA.

Unit cell a=6.809 b=11.809 c=7.309 alpha=90.00 beta=90.07 gamma=90.00
Space group C2 (No. 5)
One atom of each set of equivalent atoms:
Tl  0.000  0.000  0.000 (multiplicity 2)
Cu  0.000  0.333  0.500 (multiplicity 2)
Tc  0.000  0.667  0.500 (multiplicity 2)
Br  0.130  0.507  0.301 (multiplicity 4)
Br  0.176  0.812  0.302 (multiplicity 4)
Br  0.195  0.182  0.301 (multiplicity 4)

Properties
Volume, Å³/cell: 587.68
Electronic total energy, eV/atom: -3.429
ΔE_f (raw), eV/atom: -0.444

Here is a relaxed structure of HfRh from Alexandria via LeMat-Bulk. Energies are from PBE-GGA.

Unit cell a=10.002 b=10.002 c=3.235 alpha=90.00 beta=90.00 gamma=90.00
Space group I4/m (No. 87)
One atom of each set of equivalent atoms:
Hf  0.138  0.343  0.000 (multiplicity 8)
Rh  0.076  0.821  0.000 (multiplicity 8)

Properties
Formation enthalpy at 0 K, eV per formula unit: -0.73
Volume, Å³/cell: 323.65
Electronic total energy, eV/atom: -9.017